(1)
The following is a DFT calculation (PBE) of crystalline NdEuBiPb at its relaxed geometry.

Structure (CIF):
```
data_NdEuBiPb
_chemical_formula_sum 'Nd4 Eu4 Bi4 Pb4'
_symmetry_space_group_name_H-M 'F -4 3 m'
_symmetry_Int_Tables_number 216
_symmetry_space_group_name_Hall 'F -4 2 3'
_cell_length_a 8.006
_cell_length_b 8.006
_cell_length_c 8.006
_cell_angle_alpha 90.00
_cell_angle_beta 90.00
_cell_angle_gamma 90.00
loop_
_atom_site_label
_atom_site_fract_x
_atom_site_fract_y
_atom_site_fract_z
Nd1 0.000 0.000 0.000
Eu1 0.000 0.000 0.500
Bi1 0.250 0.250 0.250
Pb1 0.250 0.250 0.750
```

Calculated values
Density: 9.2 g/cm3
DFT total energy: -6.212 eV/atom
Total magnetization: 27.485 μB/cell

=====

(2)
The following is a DFT calculation (PBE) of crystalline NdEuBiPd at its relaxed geometry.

Structure (CIF):
```
data_NdEuBiPd
_chemical_formula_sum 'Nd4 Eu4 Bi4 Pd4'
_symmetry_space_group_name_H-M 'F -4 3 m'
_symmetry_Int_Tables_number 216
_symmetry_space_group_name_Hall 'F -4 2 3'
_cell_length_a 7.647
_cell_length_b 7.647
_cell_length_c 7.647
_cell_angle_alpha 90.00
_cell_angle_beta 90.00
_cell_angle_gamma 90.00
loop_
_atom_site_label
_atom_site_fract_x
_atom_site_fract_y
_atom_site_fract_z
Nd1 0.000 0.000 0.000
Eu1 0.000 0.000 0.500
Bi1 0.250 0.250 0.250
Pd1 0.250 0.250 0.750
```

Calculated values
Density: 9.1 g/cm3
DFT total energy: -6.730 eV/atom
Total magnetization: 28.955 μB/cell

=====

(3)
The following is a DFT calculation (PBE) of crystalline NdEuSnBi at its relaxed geometry.

Structure (CIF):
```
data_NdEuSnBi
_chemical_formula_sum 'Nd4 Eu4 Sn4 Bi4'
_symmetry_space_group_name_H-M 'F -4 3 m'
_symmetry_Int_Tables_number 216
_symmetry_space_group_name_Hall 'F -4 2 3'
_cell_length_a 7.938
_cell_length_b 7.938
_cell_length_c 7.938
_cell_angle_alpha 90.00
_cell_angle_beta 90.00
_cell_angle_gamma 90.00
loop_
_atom_site_label
_atom_site_fract_x
_atom_site_fract_y
_atom_site_fract_z
Nd1 0.000 0.000 0.000
Eu1 0.000 0.000 0.500
Sn1 0.250 0.250 0.750
Bi1 0.250 0.250 0.250
```

Calculated values
Density: 8.3 g/cm3
DFT total energy: -6.342 eV/atom
Total magnetization: 27.039 μB/cell

=====

(4)
The following is a DFT calculation (PBE) of crystalline NdEuTlBi at its relaxed geometry.

Structure (CIF):
```
data_NdEuTlBi
_chemical_formula_sum 'Nd4 Eu4 Tl4 Bi4'
_symmetry_space_group_name_H-M 'F -4 3 m'
_symmetry_Int_Tables_number 216
_symmetry_space_group_name_Hall 'F -4 2 3'
_cell_length_a 7.955
_cell_length_b 7.955
_cell_length_c 7.955
_cell_angle_alpha 90.00
_cell_angle_beta 90.00
_cell_angle_gamma 90.00
loop_
_atom_site_label
_atom_site_fract_x
_atom_site_fract_y
_atom_site_fract_z
Nd1 0.000 0.000 0.000
Eu1 0.000 0.000 0.500
Tl1 0.250 0.250 0.750
Bi1 0.250 0.250 0.250
```

Calculated values
Density: 9.4 g/cm3
DFT total energy: -5.831 eV/atom
Total magnetization: 29.493 μB/cell

=====

(5)
The following is a DFT calculation (PBE) of crystalline NdEuZnBi at its relaxed geometry.

Structure (CIF):
```
data_NdEuZnBi
_chemical_formula_sum 'Nd4 Eu4 Zn4 Bi4'
_symmetry_space_group_name_H-M 'F -4 3 m'
_symmetry_Int_Tables_number 216
_symmetry_space_group_name_Hall 'F -4 2 3'
_cell_length_a 7.754
_cell_length_b 7.754
_cell_length_c 7.754
_cell_angle_alpha 90.00
_cell_angle_beta 90.00
_cell_angle_gamma 90.00
loop_
_atom_site_label
_atom_site_fract_x
_atom_site_fract_y
_atom_site_fract_z
Nd1 0.000 0.000 0.000
Eu1 0.000 0.000 0.500
Zn1 0.250 0.250 0.250
Bi1 0.250 0.250 0.750
```

Calculated values
Density: 8.1 g/cm3
DFT total energy: -5.519 eV/atom
Total magnetization: 30.455 μB/cell

=====

(6)
The following is a DFT calculation (PBE) of crystalline EuNiBi at its relaxed geometry.

Structure (CIF):
```
data_EuNiBi
_chemical_formula_sum 'Eu1 Ni1 Bi1'
_symmetry_space_group_name_H-M 'P -6 m 2'
_symmetry_Int_Tables_number 187
_symmetry_space_group_name_Hall 'P -6 2'
_cell_length_a 4.5063
_cell_length_b 4.5063
_cell_length_c 4.3489
_cell_angle_alpha 90.00
_cell_angle_beta 90.00
_cell_angle_gamma 120.00
loop_
_atom_site_label
_atom_site_fract_x
_atom_site_fract_y
_atom_site_fract_z
Eu1 0.0000 0.0000 0.0000
Ni1 0.6667 0.3333 0.5000
Bi1 0.3333 0.6667 0.5000
```

Calculated values
Density: 9.1 g/cm3
DFT total energy: -7.087 eV/atom
Total magnetization: 6.700 μB/cell

=====

(7)
The following is a DFT calculation (PBE) of crystalline EuNi4Bi at its relaxed geometry.

Structure (CIF):
```
data_EuNi4Bi
_chemical_formula_sum 'Eu4 Ni16 Bi4'
_symmetry_space_group_name_H-M 'F -4 3 m'
_symmetry_Int_Tables_number 216
_symmetry_space_group_name_Hall 'F -4 2 3'
_cell_length_a 7.237
_cell_length_b 7.237
_cell_length_c 7.237
_cell_angle_alpha 90.00
_cell_angle_beta 90.00
_cell_angle_gamma 90.00
loop_
_atom_site_label
_atom_site_fract_x
_atom_site_fract_y
_atom_site_fract_z
Eu1 0.000 0.000 0.000
Ni1 0.125 0.125 0.625
Bi1 0.250 0.250 0.250
```

Calculated values
Density: 10.4 g/cm3
DFT total energy: -6.299 eV/atom
Total magnetization: 26.136 μB/cell

=====

no.,E_form (kJ per mole of atoms)
1,-53
2,-68
3,-59
4,-49
5,-45
6,-43
7,-8